Entry 1:
DFT (PBE) results for crystalline Sr2Bi4Pt3Rh at its relaxed geometry.

Structure (POSCAR):
```
Sr2Bi4Pt3Rh
1.0
4.871 0.000 0.000
0.000 4.871 0.000
0.000 0.000 10.983
Sr Bi Pt Rh
2 4 3 1
Cartesian
2.435 0.000 2.918
0.000 2.435 8.064
2.435 2.435 0.000
0.000 0.000 0.000
2.435 0.000 6.808
0.000 2.435 4.175
0.000 0.000 5.491
2.435 0.000 9.534
0.000 2.435 1.448
2.435 2.435 5.491
```

N(E_F) in states/eV per cell: 6.47
Electronic total energy in eV/cell: -49.6

=====

Entry 2:
DFT (PBE) results for crystalline BaLi10Al2 at its relaxed geometry.

Structure (POSCAR):
```
BaLi10Al2
1.0
-0.350 -7.407 1.456
7.471 0.571 0.980
-1.428 1.980 9.729
Ba Li Al
2 20 4
Cartesian
-0.511 -4.994 8.698
6.205 0.138 3.468
-0.338 -1.441 8.000
6.031 -3.415 4.165
3.073 -4.715 9.167
2.621 -0.141 2.999
4.492 -1.917 8.805
1.202 -2.939 3.360
2.445 0.048 8.105
3.248 -4.904 4.060
0.488 -5.152 5.334
4.756 0.920 9.896
0.937 -5.776 2.269
5.206 0.296 6.831
1.329 -2.485 10.361
3.839 -1.642 5.387
1.854 -3.214 6.779
4.365 -2.371 1.805
5.409 -5.192 1.850
0.999 -0.654 5.450
1.712 -1.644 0.586
4.695 -4.202 6.715
-0.175 -3.704 0.728
-0.889 -2.714 5.593
3.022 1.276 5.355
3.736 0.286 0.490
```

N(E_F) in states/eV per cell: 11.69
Electronic total energy in eV/cell: -58.3

=====

Entry 3:
DFT (PBE) results for crystalline Pr4AsPbS2 at its relaxed geometry.

Structure (POSCAR):
```
Pr4AsPbS2
1.0
4.289 0.000 0.000
0.000 7.410 -0.129
0.000 2.626 7.007
Pr As Pb S
4 1 1 2
Cartesian
0.000 7.604 5.049
4.289 2.432 1.829
2.145 6.284 1.699
2.145 3.752 5.179
0.000 5.018 3.439
2.145 6.331 6.943
0.000 2.626 7.007
2.145 1.313 3.504
```

N(E_F) in states/eV per cell: 2.62
Electronic total energy in eV/cell: -47.6

=====

Entry 4:
DFT (PBE) results for crystalline K4Er3PaTe8 at its relaxed geometry.

Structure (POSCAR):
```
K4Er3PaTe8
1.0
8.923 0.000 0.000
0.000 9.739 0.568
-4.462 -4.459 6.312
K Er Pa Te
4 3 1 8
Cartesian
4.462 0.000 0.000
2.231 -2.230 3.156
0.000 0.000 0.000
-2.231 -2.230 3.156
4.462 4.869 0.284
2.231 2.640 3.440
-2.231 2.640 3.440
0.000 4.869 0.284
-2.205 2.584 6.537
0.000 4.788 3.417
0.000 0.499 3.505
2.205 2.584 6.537
2.256 2.695 0.343
4.462 4.780 3.376
4.462 0.491 3.463
6.667 2.695 0.343
```

N(E_F) in states/eV per cell: 10.81
Electronic total energy in eV/cell: -72.7

=====

Entry 5:
DFT (PBE) results for crystalline CaTl2HgSb2 at its relaxed geometry.

Structure (POSCAR):
```
CaTl2HgSb2
1.0
-4.484 -1.440 -0.533
0.647 -4.364 6.356
-3.189 7.822 5.696
Ca Tl Hg Sb
2 4 2 4
Cartesian
-0.823 -0.724 8.883
-1.413 2.112 6.181
-2.555 -0.027 0.496
-0.261 -0.333 3.096
-4.759 3.991 8.189
-2.152 2.916 10.229
-4.247 3.755 4.515
-2.895 -0.950 5.856
-2.417 5.212 6.254
-3.283 1.101 3.575
-0.115 -1.824 5.898
-3.725 0.796 8.119
```

N(E_F) in states/eV per cell: 1.51
Electronic total energy in eV/cell: -34.4

=====

Entry 6:
DFT (PBE) results for crystalline SrMgPCl2 at its relaxed geometry.

Structure (POSCAR):
```
SrMgPCl2
1.0
-4.136 -0.347 3.486
-2.231 -3.897 -3.035
3.083 -4.282 3.232
Sr Mg P Cl
1 1 1 2
Cartesian
0.000 0.000 0.000
-1.642 -4.263 1.842
1.541 -2.141 1.616
-1.116 -1.949 -1.518
-2.068 -0.173 1.743
```

Energy above the lowest structure with this stoichiometry in meV per atom: 604
N(E_F) in states/eV per cell: 3.15

=====

no.,calculated density (g cm⁻³)
1,10.83
2,1.52
3,6.74
4,5.55
5,7.94
6,1.95